[1]
# SrSc2Bi (PBE-GGA, optimized geometry)
# Formation energy from the elements in eV per atom: 0.1313
data_SrSc2Bi
_chemical_formula_sum 'Sr1 Sc2 Bi1'
_symmetry_space_group_name_H-M 'P 1'
_symmetry_Int_Tables_number 1
_cell_length_a 10.8101
_cell_length_b 10.8101
_cell_length_c 10.8101
_cell_angle_alpha 20.99
_cell_angle_beta 20.99
_cell_angle_gamma 20.99
loop_
_symmetry_equiv_pos_as_xyz
'x,y,z'
loop_
_atom_site_label
_atom_site_fract_x
_atom_site_fract_y
_atom_site_fract_z
Sr1 0.0000 0.0000 0.0000
Sc1 0.1085 0.1085 0.1085
Sc2 0.8915 0.8915 0.8915
Bi1 0.5000 0.5000 0.5000



[2]
# SrScBi (PBE-GGA, optimized geometry)
# Formation energy from the elements in eV per atom: -0.4233
data_SrScBi
_chemical_formula_sum 'Sr4 Sc4 Bi4'
_symmetry_space_group_name_H-M 'P 1'
_symmetry_Int_Tables_number 1
_cell_length_a 11.3942
_cell_length_b 11.3942
_cell_length_c 9.2964
_cell_angle_alpha 97.51
_cell_angle_beta 97.51
_cell_angle_gamma 23.82
loop_
_symmetry_equiv_pos_as_xyz
'x,y,z'
loop_
_atom_site_label
_atom_site_fract_x
_atom_site_fract_y
_atom_site_fract_z
Sr1 0.0587 0.0587 0.3260
Sr2 0.3929 0.3929 0.1812
Sr3 0.6071 0.6071 0.8188
Sr4 0.9413 0.9413 0.6740
Sc1 0.2456 0.2456 0.3600
Sc2 0.2558 0.2558 0.8874
Sc3 0.7442 0.7442 0.1126
Sc4 0.7544 0.7544 0.6400
Bi1 0.1560 0.1560 0.0833
Bi2 0.1704 0.1704 0.6052
Bi3 0.8296 0.8296 0.3948
Bi4 0.8440 0.8440 0.9167



[3]
# Sr2ScBi (PBE-GGA, optimized geometry)
# Formation energy from the elements in eV per atom: 0.0563
data_Sr2ScBi
_chemical_formula_sum 'Sr4 Sc2 Bi2'
_symmetry_space_group_name_H-M 'P 1'
_symmetry_Int_Tables_number 1
_cell_length_a 7.5376
_cell_length_b 7.5376
_cell_length_c 7.5376
_cell_angle_alpha 101.62
_cell_angle_beta 101.62
_cell_angle_gamma 126.66
loop_
_symmetry_equiv_pos_as_xyz
'x,y,z'
loop_
_atom_site_label
_atom_site_fract_x
_atom_site_fract_y
_atom_site_fract_z
Sr1 0.0917 0.6250 0.9667
Sr2 0.3750 0.3417 0.4667
Sr3 0.6583 0.1250 0.0333
Sr4 0.8750 0.9083 0.5333
Sc1 0.2500 0.7500 0.5000
Sc2 0.5000 0.5000 0.0000
Bi1 0.0000 0.0000 0.0000
Bi2 0.7500 0.2500 0.5000